VASP calculation (PBE with a Hubbard U) on an optimized crystal structure of PaVF2.

Cell: 3.3262 3.3262 21.0876 Å, 90.00 90.00 120.00°
Last column: nearest neighbours and their distance in Å.
Space group R-3m (No. 166, hexagonal axes)
Inequivalent atoms, fractional coordinates:
1 Pa 0.0000 0.0000 0.0000 x3  2 F 2.59
2 V 0.0000 0.0000 0.5000 x3  6 F 2.13
3 F 0.0000 0.0000 0.1230 x6  3 V 2.13

Results
- DOS at the Fermi energy: 0.973 states/eV per atom
- Raw total energy: -6.724 eV per atom
- Total moment: 7.602 Bohr magnetons per cell